BaSi4Pt2 | GGA-PBE | relaxed

Unit cell a=6.9013 b=6.9013 c=6.3934 alpha=90.00 beta=90.00 gamma=90.00
Fractional positions:
Ba 0.0000 0.0000 0.0000
Ba 0.5000 0.5000 0.5000
Si 0.0000 0.2455 0.5000
Si 0.0000 0.7545 0.5000
Si 0.2455 0.0000 0.5000
Si 0.2545 0.5000 0.0000
Si 0.5000 0.2545 0.0000
Si 0.5000 0.7455 0.0000
Si 0.7455 0.5000 0.0000
Si 0.7545 0.0000 0.5000
Pt 0.0000 0.5000 0.2500
Pt 0.0000 0.5000 0.7500
Pt 0.5000 0.0000 0.2500
Pt 0.5000 0.0000 0.7500

Output
Raw total energy ... -5.691 eV per atom
Space group ... I4/mmm
Total magnetic moment ... 0.0 μB per formula unit
Raw formation energy ... -0.5918 eV per atom